TiTcBTeRh | PBE-GGA | relaxed

Results
Symmetry: Cm, No. 8
E_tot (eV for the cell shown): -72.2
E above lowest polymorph (eV per atom): 0.1943
E_form (uncorrected) (eV/f.u.): -0.7
Calculated volume (Å³/atom): 17.3

Cell and atoms, written as POSCAR:
```
TiTcBTeRh
1.0
-1.8532 3.1224 -2.3055
-0.8803 -2.0902 -2.1233
-10.2232 -3.2621 7.4499
B Te Rh Tc Ti
2 2 2 2 2
direct
0.6631 0.0000 0.8530 B
0.6631 0.5000 0.3530 B
0.8602 0.0000 0.1468 Te
0.8602 0.5000 0.6468 Te
0.4050 0.0000 0.2806 Rh
0.4050 0.5000 0.7806 Rh
0.7726 0.0000 0.4722 Tc
0.7726 0.5000 0.9722 Tc
0.2229 0.0000 0.9417 Ti
0.2229 0.5000 0.4417 Ti
```

TiTcBTeRh | PBE-GGA | relaxed

Results
Symmetry: Cm, No. 8
E_tot (eV for the cell shown): -35.2
E above lowest polymorph (eV per atom): 0.3709
E_form (uncorrected) (eV/f.u.): 0.2
Calculated volume (Å³/atom): 16.7

Cell and atoms, written as POSCAR:
```
TiTcBTeRh
1.0
-1.0606 -1.9531 2.2933
5.0703 0.5019 0.5532
-2.4662 4.3920 2.5959
B Te Rh Tc Ti
1 1 1 1 1
direct
0.1776 0.8306 0.5983 B
0.8757 0.2271 0.0165 Te
0.3147 0.1053 0.3688 Rh
0.5895 0.6548 0.3430 Tc
0.5598 0.5941 0.7496 Ti
```

TcB2RhW | PBE-GGA | relaxed

Results
Symmetry: P4/mmm, No. 123
E_tot (eV for the cell shown): -35.7
Calculated volume (Å³/atom): 16.2
ΔE_f (eV/atom): 1.656

Cell and atoms, written as POSCAR:
```
TcB2RhW
1.0
-4.0410 0.1080 -0.8407
-0.4610 -4.4431 1.6447
-0.7474 1.4777 3.7824
B Rh Tc W
2 1 1 1
direct
0.0000 0.0000 0.5000 B
0.5000 0.0000 0.0000 B
0.0000 0.5000 0.0000 Rh
0.5000 0.5000 0.5000 Tc
0.0000 0.0000 0.0000 W
```

YTcBRh2 | PBE-GGA | relaxed

Results
Symmetry: P4/mmm, No. 123
E_tot (eV for the cell shown): -40.5
Calculated volume (Å³/atom): 15.1
ΔE_f (eV/atom): -0.453

Cell and atoms, written as POSCAR:
```
YTcBRh2
1.0
4.1928 0.0000 0.0000
0.0000 4.1928 0.0000
0.0000 0.0000 4.2973
Y B Rh Tc
1 1 2 1
direct
0.5000 0.5000 0.5000 Y
0.0000 0.0000 0.0000 B
0.0000 0.5000 0.0000 Rh
0.5000 0.0000 0.0000 Rh
0.0000 0.0000 0.5000 Tc
```

ZrTc2BRh | PBE-GGA | relaxed

Results
Symmetry: P4/mmm, No. 123
E_tot (eV for the cell shown): -45.1
Calculated volume (Å³/atom): 14.5
ΔE_f (eV/atom): -0.362

Cell and atoms, written as POSCAR:
```
ZrTc2BRh
1.0
-4.1878 0.1145 -0.0424
-0.1066 -2.7173 3.1870
0.0589 3.1495 2.6872
B Rh Tc Zr
1 1 2 1
direct
0.0000 0.0000 0.0000 B
0.0000 0.0000 0.5000 Rh
0.0000 0.5000 0.0000 Tc
0.5000 0.0000 0.0000 Tc
0.5000 0.5000 0.5000 Zr
```

ZrTcBRh2 | PBE-GGA | relaxed

Results
Symmetry: P4/mmm, No. 123
E_tot (eV for the cell shown): -43.1
Calculated volume (Å³/atom): 14.3
ΔE_f (eV/atom): -0.555

Cell and atoms, written as POSCAR:
```
ZrTcBRh2
1.0
4.1084 0.0000 0.0000
0.0000 4.1084 0.0000
0.0000 0.0000 4.2487
B Rh Tc Zr
1 2 1 1
direct
0.0000 0.0000 0.0000 B
0.0000 0.5000 0.0000 Rh
0.5000 0.0000 0.0000 Rh
0.0000 0.0000 0.5000 Tc
0.5000 0.5000 0.5000 Zr
```

B2TeRh | PBE-GGA | relaxed

Results
Symmetry: I-42d, No. 122
E_tot (eV for the cell shown): -43.9
E_form (uncorrected) (eV/f.u.): 1.9
Calculated volume (Å³/atom): 16.0

Cell and atoms, written as POSCAR:
```
B2TeRh
1.0
5.1272 0.0000 0.0000
0.0000 5.1272 0.0000
2.5636 2.5636 4.8696
B Te Rh
4 2 2
direct
0.5787 0.1250 0.2500 B
0.1713 0.6250 0.2500 B
0.3750 0.4213 0.7500 B
0.8750 0.8287 0.7500 B
0.0000 0.0000 0.0000 Te
0.7500 0.2500 0.5000 Te
0.5000 0.5000 0.0000 Rh
0.2500 0.7500 0.5000 Rh
```

BTeRh3 | PBE-GGA | relaxed

Results
Symmetry: Pm-3m, No. 221
E_tot (eV for the cell shown): -31.9
E above lowest polymorph (eV per atom): 0.0000
E_form (uncorrected) (eV/f.u.): -0.1
Calculated volume (Å³/atom): 14.9

Cell and atoms, written as POSCAR:
```
BTeRh3
1.0
4.2119 0.0000 0.0000
0.0000 4.2119 0.0000
0.0000 0.0000 4.2119
B Te Rh
1 1 3
direct
0.0000 0.0000 0.0000 B
0.5000 0.5000 0.5000 Te
0.0000 0.5000 0.0000 Rh
0.0000 0.0000 0.5000 Rh
0.5000 0.0000 0.0000 Rh
```

BTeRh2 | PBE-GGA | relaxed

Results
Symmetry: Fm-3m, No. 225
E_tot (eV for the cell shown): -22.4
E above lowest polymorph (eV per atom): 0.5966
E_form (uncorrected) (eV/f.u.): 2.1
Calculated volume (Å³/atom): 14.5

Cell and atoms, written as POSCAR:
```
BTeRh2
1.0
0.0000 3.0753 3.0753
3.0753 0.0000 3.0753
3.0753 3.0753 0.0000
B Te Rh
1 1 2
direct
0.0000 0.0000 0.0000 B
0.5000 0.5000 0.5000 Te
0.2500 0.2500 0.2500 Rh
0.7500 0.7500 0.7500 Rh
```

BTeRh2 | PBE-GGA | relaxed

Results
Symmetry: I-42d, No. 122
E_tot (eV for the cell shown): -49.5
E above lowest polymorph (eV per atom): 0.0000
E_form (uncorrected) (eV/f.u.): -0.3
Calculated volume (Å³/atom): 17.9

Cell and atoms, written as POSCAR:
```
BTeRh2
1.0
-4.2706 1.1322 -2.6145
-2.4950 -3.7610 2.4466
-4.8413 2.1904 3.8163
B Te Rh
2 2 4
direct
0.5000 0.5000 0.0000 B
0.2500 0.7500 0.5000 B
0.0000 0.0000 0.0000 Te
0.7500 0.2500 0.5000 Te
0.5293 0.1250 0.2500 Rh
0.2207 0.6250 0.2500 Rh
0.3750 0.4707 0.7500 Rh
0.8750 0.7793 0.7500 Rh
```

BTeRh3 | PBE-GGA | relaxed

Results
Symmetry: Pm-3m, No. 221
E_tot (eV for the cell shown): -22.9
E above lowest polymorph (eV per atom): 1.8076
E_form (uncorrected) (eV/f.u.): 9.0
Calculated volume (Å³/atom): 22.8

Cell and atoms, written as POSCAR:
```
BTeRh3
1.0
-2.6857 2.3061 3.3086
1.3215 -3.2524 3.3397
3.8103 2.7535 1.1738
B Te Rh
1 1 3
direct
0.5000 0.5000 0.5000 B
0.0000 0.0000 0.0000 Te
0.0000 0.5000 0.0000 Rh
0.0000 0.0000 0.5000 Rh
0.5000 0.0000 0.0000 Rh
```

Th4B3TeRh12 | PBE-GGA | relaxed

Results
Symmetry: Im-3m, No. 229
E_tot (eV for the cell shown): -154.3
E_form (uncorrected) (eV/f.u.): -13.3
Calculated volume (Å³/atom): 17.3

Cell and atoms, written as POSCAR:
```
Th4B3TeRh12
1.0
7.6567 0.0000 0.0000
-2.5522 7.2189 0.0000
-2.5522 -3.6094 6.2517
Th B Te Rh
4 3 1 12
direct
0.5000 0.5000 0.5000 Th
0.0000 0.0000 0.5000 Th
0.5000 0.0000 0.0000 Th
0.0000 0.5000 0.0000 Th
0.5000 0.0000 0.5000 B
0.5000 0.5000 0.0000 B
0.0000 0.5000 0.5000 B
0.0000 0.0000 0.0000 Te
0.2500 0.5000 0.7500 Rh
0.7190 0.0000 0.7190 Rh
0.2810 0.0000 0.2810 Rh
0.7500 0.5000 0.2500 Rh
0.7190 0.7190 0.0000 Rh
0.2810 0.2810 0.0000 Rh
0.7500 0.2500 0.5000 Rh
0.2500 0.7500 0.5000 Rh
0.5000 0.2500 0.7500 Rh
0.0000 0.7190 0.7190 Rh
0.5000 0.7500 0.2500 Rh
0.0000 0.2810 0.2810 Rh
```

TiBTeRh | PBE-GGA | relaxed

Results
Symmetry: P3m1, No. 156
E_tot (eV for the cell shown): -27.0
E above lowest polymorph (eV per atom): 0.0016
E_form (uncorrected) (eV/f.u.): -2.0
Calculated volume (Å³/atom): 16.6

Cell and atoms, written as POSCAR:
```
TiBTeRh
1.0
-2.8135 1.6837 0.8202
-0.0003 -3.3797 -0.0272
1.8546 -0.0523 6.4685
B Te Rh Ti
1 1 1 1
direct
0.0000 0.0000 0.8775 B
0.6667 0.3333 0.3579 Te
0.6667 0.3333 0.7618 Rh
0.3333 0.6667 0.0701 Ti
```

TiBTeRh | PBE-GGA | relaxed

Results
Symmetry: Cm, No. 8
E_tot (eV for the cell shown): -52.5
E above lowest polymorph (eV per atom): 0.2040
E_form (uncorrected) (eV/f.u.): -1.2
Calculated volume (Å³/atom): 17.5

Cell and atoms, written as POSCAR:
```
TiBTeRh
1.0
-0.3907 5.7740 2.9827
-0.9228 -1.5206 2.8228
6.4660 -4.7484 -0.4442
B Te Rh Ti
2 2 2 2
direct
0.8901 0.0000 0.8998 B
0.8901 0.5000 0.3998 B
0.4367 0.0000 0.3598 Te
0.4367 0.5000 0.8598 Te
0.7314 0.0000 0.2227 Rh
0.7314 0.5000 0.7227 Rh
0.0091 0.0000 0.6391 Ti
0.0091 0.5000 0.1391 Ti
```

TiBTeRh | PBE-GGA | relaxed

Results
Symmetry: Pmm2, No. 25
E_tot (eV for the cell shown): -25.5
E above lowest polymorph (eV per atom): 0.3792
E_form (uncorrected) (eV/f.u.): -0.5
Calculated volume (Å³/atom): 17.4

Cell and atoms, written as POSCAR:
```
TiBTeRh
1.0
-1.7184 -1.3138 3.7508
-0.4120 -3.7710 -1.5096
3.5919 -0.9219 1.3226
B Te Rh Ti
1 1 1 1
direct
0.0000 0.5000 0.8686 B
0.5000 0.0000 0.4170 Te
0.0000 0.0000 0.8535 Rh
0.5000 0.5000 0.9282 Ti
```

TiBTeRh | PBE-GGA | relaxed

Results
Symmetry: R3m, No. 160
E_tot (eV for the cell shown): -81.1
E above lowest polymorph (eV per atom): 0.0000
E_form (uncorrected) (eV/f.u.): -2.0
Calculated volume (Å³/atom): 15.6

Cell and atoms, written as POSCAR:
```
TiBTeRh
1.0
-0.4248 -0.7946 -3.2552
0.0096 -2.4313 2.3446
-18.7963 1.8545 2.0000
B Te Rh Ti
3 3 3 3
direct
0.0000 0.0000 0.6255 B
0.3333 0.6667 0.2922 B
0.6667 0.3333 0.9589 B
0.0000 0.0000 0.1268 Te
0.3333 0.6667 0.7934 Te
0.6667 0.3333 0.4601 Te
0.0000 0.0000 0.9127 Rh
0.3333 0.6667 0.5793 Rh
0.6667 0.3333 0.2460 Rh
0.0000 0.0000 0.3575 Ti
0.3333 0.6667 0.0241 Ti
0.6667 0.3333 0.6908 Ti
```

TiBTeRh | PBE-GGA | relaxed

Results
Symmetry: Pm, No. 6
E_tot (eV for the cell shown): -25.9
E above lowest polymorph (eV per atom): 0.2919
E_form (uncorrected) (eV/f.u.): -0.8
Calculated volume (Å³/atom): 16.0

Cell and atoms, written as POSCAR:
```
TiBTeRh
1.0
-2.6489 -0.5356 2.3465
-0.8081 -2.8881 -1.5715
4.5891 -2.3758 2.0065
B Te Rh Ti
1 1 1 1
direct
0.7538 0.5000 0.9300 B
0.0891 0.5000 0.3809 Te
0.7349 0.0000 0.7007 Rh
0.3831 0.0000 0.0557 Ti
```

Tm4B3TeRh12 | PBE-GGA | relaxed

Results
Symmetry: Im-3m, No. 229
E_tot (eV for the cell shown): -141.2
E_form (uncorrected) (eV/f.u.): -11.9
Calculated volume (Å³/atom): 16.3

Cell and atoms, written as POSCAR:
```
Tm4B3TeRh12
1.0
7.5122 0.0000 0.0000
-2.5041 7.0826 0.0000
-2.5041 -3.5413 6.1337
Tm B Te Rh
4 3 1 12
direct
0.5000 0.5000 0.5000 Tm
0.0000 0.0000 0.5000 Tm
0.5000 0.0000 0.0000 Tm
0.0000 0.5000 0.0000 Tm
0.5000 0.0000 0.5000 B
0.5000 0.5000 0.0000 B
0.0000 0.5000 0.5000 B
0.0000 0.0000 0.0000 Te
0.2500 0.5000 0.7500 Rh
0.7244 0.0000 0.7244 Rh
0.2756 0.0000 0.2756 Rh
0.7500 0.5000 0.2500 Rh
0.7244 0.7244 0.0000 Rh
0.2756 0.2756 0.0000 Rh
0.7500 0.2500 0.5000 Rh
0.2500 0.7500 0.5000 Rh
0.5000 0.2500 0.7500 Rh
0.0000 0.7244 0.7244 Rh
0.5000 0.7500 0.2500 Rh
0.0000 0.2756 0.2756 Rh
```

VBTeRh2 | PBE-GGA | relaxed

Results
Symmetry: P4/mmm, No. 123
E_tot (eV for the cell shown): -24.1
E_form (uncorrected) (eV/f.u.): 9.6
Calculated volume (Å³/atom): 22.3

Cell and atoms, written as POSCAR:
```
VBTeRh2
1.0
4.7934 0.0000 0.0000
0.0000 4.8602 0.0000
0.0000 0.0000 4.7934
B Te Rh V
1 1 2 1
direct
0.5000 0.5000 0.5000 B
0.0000 0.0000 0.0000 Te
0.0000 0.0000 0.5000 Rh
0.5000 0.0000 0.0000 Rh
0.0000 0.5000 0.0000 V
```

ThBRh3 | PBE-GGA | relaxed

Results
Symmetry: Pm-3m, No. 221
E_tot (eV for the cell shown): -40.6
Calculated volume (Å³/atom): 15.7
ΔE_f (eV/atom): -0.889

Cell and atoms, written as POSCAR:
```
ThBRh3
1.0
-3.7272 -1.3272 1.6307
0.8926 -4.0039 -1.2186
1.9036 -0.7213 3.7641
B Rh Th
1 3 1
direct
0.5000 0.5000 0.5000 B
0.0000 0.5000 0.5000 Rh
0.5000 0.0000 0.5000 Rh
0.5000 0.5000 0.0000 Rh
0.0000 0.0000 0.0000 Th
```